--- P ---
First-principles (PBE) data for an optimized crystal structure of AlH2Pd4, as listed in the Alexandria database.

```
data_AlH2Pd4
_chemical_formula_sum 'Al4 H8 Pd16'
_space_group_name_H-M_alt 'C 1 c 1'
_space_group_IT_number 9
_cell_length_a 5.412
_cell_length_b 9.735
_cell_length_c 6.889
_cell_angle_alpha 90.00
_cell_angle_beta 112.88
_cell_angle_gamma 90.00
loop_
_space_group_symop_operation_xyz
'x,y,z'
'x,-y,z+1/2'
'x+1/2,y+1/2,z'
'x+1/2,-y+1/2,z+1/2'
loop_
_atom_site_label
_atom_site_fract_x
_atom_site_fract_y
_atom_site_fract_z
_atom_site_occupancy
Al1 0.000 0.125 0.000 1
H1 0.107 0.486 0.828 1
H2 0.275 0.237 0.671 1
Pd1 0.080 0.185 0.374 1
Pd2 0.212 0.437 0.125 1
Pd3 0.278 0.062 0.779 1
Pd4 0.498 0.188 0.223 1
```



--- Q ---
First-principles (PBE) data for an optimized crystal structure of AlH2Pd4, as listed in the Alexandria database.

```
data_AlH2Pd4
_chemical_formula_sum 'Al2 H4 Pd8'
_space_group_name_H-M_alt 'P 1'
_space_group_IT_number 1
_cell_length_a 5.383
_cell_length_b 5.625
_cell_length_c 6.672
_cell_angle_alpha 99.79
_cell_angle_beta 101.81
_cell_angle_gamma 117.91
loop_
_space_group_symop_operation_xyz
'x,y,z'
loop_
_atom_site_label
_atom_site_fract_x
_atom_site_fract_y
_atom_site_fract_z
_atom_site_occupancy
Al1 0.000 0.000 0.000 1
Al2 0.252 0.870 0.450 1
H1 0.059 0.499 0.793 1
H2 0.408 0.390 0.194 1
H3 0.486 0.494 0.666 1
H4 0.827 0.105 0.375 1
Pd1 0.037 0.548 0.064 1
Pd2 0.208 0.349 0.393 1
Pd3 0.403 0.236 0.812 1
Pd4 0.442 0.762 0.820 1
Pd5 0.551 0.159 0.213 1
Pd6 0.706 0.742 0.240 1
Pd7 0.818 0.128 0.648 1
Pd8 0.862 0.648 0.641 1
```



Most stable to least stable, the ends of the list are Q and P.